No. 1
Entry from Alexandria: ErPu3Al8 after structural relaxation (GGA-PBE).

Cell lengths 9.540, 9.540, 9.540 Å; angles 33.68, 33.68, 33.68 degrees
Fractional coordinates of all 12 atoms:
Er: 0.000 0.000 0.000
Pu: 0.381 0.381 0.381
Pu: 0.500 0.500 0.500
Pu: 0.874 0.874 0.874
Al: 0.189 0.189 0.189
Al: 0.438 0.938 0.938
Al: 0.439 0.439 0.940
Al: 0.439 0.940 0.439
Al: 0.689 0.689 0.689
Al: 0.938 0.438 0.938
Al: 0.938 0.938 0.438
Al: 0.940 0.439 0.439

Calculated formation energy (eV per atom): -0.37
Density of states at the Fermi level (states/eV/cell): 26.3
Energy (eV for the cell shown): -82.00

---

No. 2
Entry from Alexandria: LaPr4Dy6 after structural relaxation (GGA-PBE).

Cell lengths 9.760, 9.760, 9.760 Å; angles 139.53, 139.53, 58.57 degrees
Fractional coordinates of all 11 atoms:
La: 0.000 0.000 0.000
Pr: 0.015 0.632 0.000
Pr: 0.368 0.368 0.383
Pr: 0.632 0.015 0.000
Pr: 0.985 0.985 0.617
Dy: 0.000 0.500 0.500
Dy: 0.200 0.200 0.645
Dy: 0.445 0.800 0.000
Dy: 0.500 0.000 0.500
Dy: 0.555 0.555 0.355
Dy: 0.800 0.445 0.000

Calculated formation energy (eV per atom): 0.30
Density of states at the Fermi level (states/eV/cell): 15.1
Energy (eV for the cell shown): -48.32